! MnIn2F2 GGA+U optimized geometry; values from VASP
! V	22.2	Å³ per atom
! total energy	-4.37	eV/atom
&SYSTEM
  ibrav = 0, nat = 5, ntyp = 3
/
ATOMIC_SPECIES
F 19.00 F.upf
Mn 54.94 Mn.upf
In 114.82 In.upf
CELL_PARAMETERS angstrom
-0.316 0.579 -5.700
3.357 -4.607 -0.654
-1.213 -3.999 -3.227
ATOMIC_POSITIONS crystal
F 0.289 0.289 0.421
F 0.711 0.711 0.579
Mn 0.000 0.000 0.000
In 0.750 0.250 0.500
In 0.250 0.750 0.500